Entry 1:
An optimized crystal structure of BaHgPdPt. Source: Alexandria via LeMat-Bulk, functional PBE-GGA.

The structure in CIF format:
```
data_BaHgPdPt
_chemical_formula_sum 'Ba1 Hg1 Pd1 Pt1'
_cell_length_a 4.767
_cell_length_b 4.769
_cell_length_c 6.045
_cell_angle_alpha 113.08
_cell_angle_beta 90.00
_cell_angle_gamma 119.99
_space_group_name_H-M_alt 'P 1'
_space_group_IT_number 1
loop_
_space_group_symop_operation_xyz
'x,y,z'
loop_
_atom_site_label
_atom_site_fract_x
_atom_site_fract_y
_atom_site_fract_z
_atom_site_occupancy
Pd1 0.424 0.848 0.913 1
Ba1 0.614 0.229 0.486 1
Hg1 0.120 0.240 0.002 1
Pt1 0.808 0.616 0.066 1
```

Values from the calculation:
space-group type: No. 8
energy of formation: -0.501 eV per atom



Entry 2:
An optimized crystal structure of Ba2HgPd5Pt2. Source: Alexandria via LeMat-Bulk, functional PBE-GGA.

The structure in CIF format:
```
data_Ba2HgPd5Pt2
_chemical_formula_sum 'Ba4 Hg2 Pd10 Pt4'
_cell_length_a 4.002
_cell_length_b 10.287
_cell_length_c 10.287
_cell_angle_alpha 90.00
_cell_angle_beta 90.00
_cell_angle_gamma 90.00
_space_group_name_H-M_alt 'P 1'
_space_group_IT_number 1
loop_
_space_group_symop_operation_xyz
'x,y,z'
loop_
_atom_site_label
_atom_site_fract_x
_atom_site_fract_y
_atom_site_fract_z
_atom_site_occupancy
Hg1 0.000 0.500 0.500 1
Hg2 0.000 0.000 0.000 1
Pd1 0.500 0.060 0.801 1
Pd2 0.500 0.000 0.500 1
Pd3 0.500 0.801 0.940 1
Pd4 0.500 0.940 0.199 1
Pd5 0.500 0.500 0.000 1
Pd6 0.500 0.440 0.301 1
Pd7 0.500 0.560 0.699 1
Pd8 0.500 0.699 0.440 1
Pd9 0.500 0.199 0.060 1
Pd10 0.500 0.301 0.560 1
Ba1 0.000 0.175 0.325 1
Ba2 0.000 0.675 0.175 1
Ba3 0.000 0.325 0.825 1
Ba4 0.000 0.825 0.675 1
Pt1 0.000 0.624 0.876 1
Pt2 0.000 0.376 0.124 1
Pt3 0.000 0.124 0.624 1
Pt4 0.000 0.876 0.376 1
```

Values from the calculation:
space-group type: No. 127
energy of formation: -0.332 eV per atom



Entry 3:
An optimized crystal structure of BaHgPd2Pt. Source: Alexandria via LeMat-Bulk, functional PBE-GGA.

The structure in CIF format:
```
data_BaHgPd2Pt
_chemical_formula_sum 'Ba1 Hg1 Pd2 Pt1'
_cell_length_a 5.296
_cell_length_b 6.055
_cell_length_c 5.296
_cell_angle_alpha 90.00
_cell_angle_beta 90.00
_cell_angle_gamma 90.00
_space_group_name_H-M_alt 'P 1'
_space_group_IT_number 1
loop_
_space_group_symop_operation_xyz
'x,y,z'
loop_
_atom_site_label
_atom_site_fract_x
_atom_site_fract_y
_atom_site_fract_z
_atom_site_occupancy
Hg1 0.000 0.500 0.000 1
Ba1 0.000 0.000 0.000 1
Pd1 0.000 0.000 0.500 1
Pd2 0.500 0.000 0.000 1
Pt1 0.500 0.500 0.500 1
```

Values from the calculation:
space-group type: No. 123
energy of formation: 1.293 eV per atom



Entry 4:
An optimized crystal structure of Ba6HgPdPt2. Source: Alexandria via LeMat-Bulk, functional PBE-GGA.

The structure in CIF format:
```
data_Ba6HgPdPt2
_chemical_formula_sum 'Ba6 Hg1 Pd1 Pt2'
_cell_length_a 8.169
_cell_length_b 8.172
_cell_length_c 8.803
_cell_angle_alpha 62.34
_cell_angle_beta 62.33
_cell_angle_gamma 59.96
_space_group_name_H-M_alt 'P 1'
_space_group_IT_number 1
loop_
_space_group_symop_operation_xyz
'x,y,z'
loop_
_atom_site_label
_atom_site_fract_x
_atom_site_fract_y
_atom_site_fract_z
_atom_site_occupancy
Ba1 0.140 0.372 0.751 1
Ba2 0.253 0.905 0.237 1
Ba3 0.372 0.737 0.751 1
Ba4 0.737 0.140 0.751 1
Ba5 0.605 0.253 0.237 1
Ba6 0.905 0.606 0.237 1
Pd1 0.323 0.322 0.032 1
Pt1 0.509 0.509 0.472 1
Pt2 0.002 0.002 0.993 1
Hg1 0.815 0.815 0.555 1
```

Values from the calculation:
space-group type: No. 1
energy of formation: -0.541 eV per atom



Entry 5:
An optimized crystal structure of RbBa2HgPd. Source: Alexandria via LeMat-Bulk, functional PBE-GGA.

The structure in CIF format:
```
data_RbBa2HgPd
_chemical_formula_sum 'Rb1 Ba2 Hg1 Pd1'
_cell_length_a 6.249
_cell_length_b 6.249
_cell_length_c 5.609
_cell_angle_alpha 90.00
_cell_angle_beta 90.00
_cell_angle_gamma 90.00
_space_group_name_H-M_alt 'P 1'
_space_group_IT_number 1
loop_
_space_group_symop_operation_xyz
'x,y,z'
loop_
_atom_site_label
_atom_site_fract_x
_atom_site_fract_y
_atom_site_fract_z
_atom_site_occupancy
Pd1 0.000 0.000 0.000 1
Hg1 0.000 0.000 0.500 1
Rb1 0.500 0.500 0.500 1
Ba1 0.500 0.000 0.000 1
Ba2 0.000 0.500 0.000 1
```

Values from the calculation:
space-group type: No. 123
energy of formation: -0.220 eV per atom



Entry 6:
An optimized crystal structure of RbBaHg2Pd. Source: Alexandria via LeMat-Bulk, functional PBE-GGA.

The structure in CIF format:
```
data_RbBaHg2Pd
_chemical_formula_sum 'Rb1 Ba1 Hg2 Pd1'
_cell_length_a 5.598
_cell_length_b 5.598
_cell_length_c 5.724
_cell_angle_alpha 90.00
_cell_angle_beta 90.00
_cell_angle_gamma 90.00
_space_group_name_H-M_alt 'P 1'
_space_group_IT_number 1
loop_
_space_group_symop_operation_xyz
'x,y,z'
loop_
_atom_site_label
_atom_site_fract_x
_atom_site_fract_y
_atom_site_fract_z
_atom_site_occupancy
Hg1 0.500 0.000 0.000 1
Hg2 0.000 0.500 0.000 1
Rb1 0.500 0.500 0.500 1
Pd1 0.000 0.000 0.000 1
Ba1 0.000 0.000 0.500 1
```

Values from the calculation:
space-group type: No. 123
energy of formation: -0.255 eV per atom



Entry 7:
An optimized crystal structure of BaHgPd2Rh. Source: Alexandria via LeMat-Bulk, functional PBE-GGA.

The structure in CIF format:
```
data_BaHgPd2Rh
_chemical_formula_sum 'Ba1 Hg1 Pd2 Rh1'
_cell_length_a 5.052
_cell_length_b 6.033
_cell_length_c 5.052
_cell_angle_alpha 90.00
_cell_angle_beta 90.00
_cell_angle_gamma 90.00
_space_group_name_H-M_alt 'P 1'
_space_group_IT_number 1
loop_
_space_group_symop_operation_xyz
'x,y,z'
loop_
_atom_site_label
_atom_site_fract_x
_atom_site_fract_y
_atom_site_fract_z
_atom_site_occupancy
Rh1 0.500 0.500 0.500 1
Ba1 0.000 0.500 0.000 1
Hg1 0.000 0.000 0.000 1
Pd1 0.500 0.000 0.000 1
Pd2 0.000 0.000 0.500 1
```

Values from the calculation:
space-group type: No. 123
energy of formation: 0.851 eV per atom



Entry 8:
An optimized crystal structure of Ba8HgPd2Rh. Source: Alexandria via LeMat-Bulk, functional PBE-GGA.

The structure in CIF format:
```
data_Ba8HgPd2Rh
_chemical_formula_sum 'Ba8 Hg1 Pd2 Rh1'
_cell_length_a 7.753
_cell_length_b 7.564
_cell_length_c 9.589
_cell_angle_alpha 90.00
_cell_angle_beta 90.00
_cell_angle_gamma 89.28
_space_group_name_H-M_alt 'P 1'
_space_group_IT_number 1
loop_
_space_group_symop_operation_xyz
'x,y,z'
loop_
_atom_site_label
_atom_site_fract_x
_atom_site_fract_y
_atom_site_fract_z
_atom_site_occupancy
Pd1 0.500 0.500 0.243 1
Pd2 0.500 0.500 0.757 1
Ba1 0.319 0.261 0.000 1
Ba2 0.658 0.715 0.500 1
Ba3 0.342 0.285 0.500 1
Ba4 0.174 0.768 0.229 1
Ba5 0.826 0.232 0.771 1
Ba6 0.681 0.739 0.000 1
Ba7 0.826 0.232 0.229 1
Ba8 0.174 0.768 0.771 1
Hg1 0.000 0.000 0.500 1
Rh1 0.000 0.000 0.000 1
```

Values from the calculation:
space-group type: No. 10
energy of formation: -0.337 eV per atom



Entry 9:
An optimized crystal structure of Ba2Hg4Sb2Pd. Source: Alexandria via LeMat-Bulk, functional PBE-GGA.

The structure in CIF format:
```
data_Ba2Hg4Sb2Pd
_chemical_formula_sum 'Ba2 Hg4 Sb2 Pd1'
_cell_length_a 7.210
_cell_length_b 7.210
_cell_length_c 7.210
_cell_angle_alpha 88.68
_cell_angle_beta 120.76
_cell_angle_gamma 120.76
_space_group_name_H-M_alt 'P 1'
_space_group_IT_number 1
loop_
_space_group_symop_operation_xyz
'x,y,z'
loop_
_atom_site_label
_atom_site_fract_x
_atom_site_fract_y
_atom_site_fract_z
_atom_site_occupancy
Hg1 0.451 0.725 0.725 1
Hg2 0.549 0.275 0.275 1
Hg3 0.000 0.725 0.275 1
Hg4 0.000 0.275 0.725 1
Ba1 0.500 0.750 0.250 1
Ba2 0.500 0.250 0.750 1
Sb1 0.000 0.272 0.272 1
Sb2 0.000 0.728 0.728 1
Pd1 0.000 0.000 0.000 1
```

Values from the calculation:
formation energy without anion corrections: -4.4 eV per formula unit
space-group type: No. 139



Entry 10:
An optimized crystal structure of Ba2HgSbPd. Source: Alexandria via LeMat-Bulk, functional PBE-GGA.

The structure in CIF format:
```
data_Ba2HgSbPd
_chemical_formula_sum 'Ba2 Hg1 Sb1 Pd1'
_cell_length_a 6.202
_cell_length_b 6.202
_cell_length_c 5.058
_cell_angle_alpha 90.00
_cell_angle_beta 90.00
_cell_angle_gamma 90.00
_space_group_name_H-M_alt 'P 1'
_space_group_IT_number 1
loop_
_space_group_symop_operation_xyz
'x,y,z'
loop_
_atom_site_label
_atom_site_fract_x
_atom_site_fract_y
_atom_site_fract_z
_atom_site_occupancy
Hg1 0.500 0.500 0.500 1
Ba1 0.500 0.000 0.000 1
Ba2 0.000 0.500 0.000 1
Sb1 0.000 0.000 0.500 1
Pd1 0.000 0.000 0.000 1
```

Values from the calculation:
formation energy without anion corrections: -3.0 eV per formula unit
space-group type: No. 123



Entry 11:
An optimized crystal structure of Ba2Hg3SbPd4. Source: Alexandria via LeMat-Bulk, functional PBE-GGA.

The structure in CIF format:
```
data_Ba2Hg3SbPd4
_chemical_formula_sum 'Ba2 Hg3 Sb1 Pd4'
_cell_length_a 5.001
_cell_length_b 5.001
_cell_length_c 10.263
_cell_angle_alpha 90.00
_cell_angle_beta 90.00
_cell_angle_gamma 90.00
_space_group_name_H-M_alt 'P 1'
_space_group_IT_number 1
loop_
_space_group_symop_operation_xyz
'x,y,z'
loop_
_atom_site_label
_atom_site_fract_x
_atom_site_fract_y
_atom_site_fract_z
_atom_site_occupancy
Ba1 0.500 0.000 0.234 1
Ba2 0.000 0.500 0.766 1
Hg1 0.000 0.000 0.500 1
Hg2 0.000 0.500 0.125 1
Hg3 0.500 0.000 0.875 1
Sb1 0.500 0.500 0.500 1
Pd1 0.000 0.000 0.000 1
Pd2 0.500 0.500 0.000 1
Pd3 0.500 0.000 0.603 1
Pd4 0.000 0.500 0.397 1
```

Values from the calculation:
formation energy without anion corrections: -4.9 eV per formula unit
space-group type: No. 115



Entry 12:
An optimized crystal structure of Ba2HgSb4Pd3. Source: Alexandria via LeMat-Bulk, functional PBE-GGA.

The structure in CIF format:
```
data_Ba2HgSb4Pd3
_chemical_formula_sum 'Ba2 Hg1 Sb4 Pd3'
_cell_length_a 4.854
_cell_length_b 4.854
_cell_length_c 11.100
_cell_angle_alpha 90.00
_cell_angle_beta 90.00
_cell_angle_gamma 90.00
_space_group_name_H-M_alt 'P 1'
_space_group_IT_number 1
loop_
_space_group_symop_operation_xyz
'x,y,z'
loop_
_atom_site_label
_atom_site_fract_x
_atom_site_fract_y
_atom_site_fract_z
_atom_site_occupancy
Ba1 0.500 0.000 0.249 1
Ba2 0.000 0.500 0.751 1
Sb1 0.500 0.000 0.641 1
Sb2 0.000 0.500 0.359 1
Sb3 0.000 0.000 0.000 1
Sb4 0.500 0.500 0.000 1
Pd1 0.000 0.500 0.116 1
Pd2 0.500 0.000 0.884 1
Pd3 0.000 0.000 0.500 1
Hg1 0.500 0.500 0.500 1
```

Values from the calculation:
formation energy without anion corrections: -7.0 eV per formula unit
space-group type: No. 115



no.,raw total energy (eV/atom),DOS at the Fermi energy (states/eV per atom)
1,-3.866,0.31
2,-4.551,0.56
3,-2.438,0.20
4,-3.453,0.57
5,-2.282,0.80
6,-1.992,0.53
7,-3.142,1.43
8,-3.122,0.47
9,-2.544,0.44
10,-3.286,0.52
11,-3.457,0.54
12,-4.325,0.34